Density functional theory data (GGA-PBE) for crystalline Cr2TeMo at its relaxed geometry.

Results
V = 62.5 Å³/cell
space group = Cmmm
formation energy without anion corrections = 0.486 eV/atom

a = 4.5109 Å, b = 4.5109 Å, c = 3.1554 Å
α = 90.00°, β = 90.00°, γ = 103.28°
Positions (direct):
1 Cr 0.0000 0.0000 0.0000
2 Cr 0.5000 0.5000 0.0000
3 Mo 0.5000 0.0000 0.5000
4 Te 0.0000 0.5000 0.5000


Density functional theory data (GGA-PBE) for crystalline CrTeMo2 at its relaxed geometry.

Results
V = 70.5 Å³/cell
space group = Cmm2
formation energy without anion corrections = 0.595 eV/atom

a = 2.9747 Å, b = 2.9747 Å, c = 8.5815 Å
α = 90.00°, β = 90.00°, γ = 111.89°
Positions (direct):
1 Cr 0.5000 0.5000 0.7699
2 Mo 0.0000 0.0000 0.9944
3 Mo 0.5000 0.5000 0.2261
4 Te 0.0000 0.0000 0.5095


Density functional theory data (GGA-PBE) for crystalline CrTeMo2 at its relaxed geometry.

Results
V = 65.1 Å³/cell
space group = P4/mmm
formation energy without anion corrections = 0.442 eV/atom

a = 4.5018 Å, b = 4.5018 Å, c = 3.2105 Å
α = 90.00°, β = 90.00°, γ = 89.98°
Positions (direct):
1 Cr 0.0000 0.5000 0.5000
2 Mo 0.0000 0.0000 0.0000
3 Mo 0.5000 0.5000 0.0000
4 Te 0.5000 0.0000 0.5000


Density functional theory data (GGA-PBE) for crystalline CrTeMo2 at its relaxed geometry.

Results
V = 67.5 Å³/cell
space group = Pmm2
formation energy without anion corrections = 0.445 eV/atom

a = 3.1106 Å, b = 4.0611 Å, c = 5.3444 Å
α = 90.00°, β = 90.00°, γ = 90.00°
Positions (direct):
1 Cr 0.5000 0.5000 0.7912
2 Mo 0.0000 0.0000 0.9935
3 Mo 0.5000 0.5000 0.2135
4 Te 0.0000 0.0000 0.5018


Density functional theory data (GGA-PBE) for crystalline CrTeMo2 at its relaxed geometry.

Results
V = 67.0 Å³/cell
space group = P2/m
formation energy without anion corrections = 0.477 eV/atom

a = 3.8338 Å, b = 3.1210 Å, c = 5.9537 Å
α = 70.14°, β = 90.00°, γ = 90.00°
Positions (direct):
1 Cr 0.5000 0.7500 0.7500
2 Mo 0.0000 0.9571 0.9622
3 Mo 0.0000 0.5429 0.5378
4 Te 0.5000 0.2500 0.2500


Density functional theory data (GGA-PBE) for crystalline CrTe2Mo at its relaxed geometry.

Results
relative energy among the computed polymorphs = 0.290 eV per atom
V = 84.8 Å³/cell
space group = Imm2
formation energy without anion corrections = 0.280 eV/atom

a = 6.6554 Å, b = 6.6554 Å, c = 6.6554 Å
α = 149.22°, β = 145.68°, γ = 46.76°
Positions (direct):
1 Cr 0.5135 0.5135 0.0000
2 Mo 0.3093 0.8093 0.5000
3 Te 0.9658 0.9658 0.0000
4 Te 0.7114 0.2114 0.5000


Density functional theory data (GGA-PBE) for crystalline CrTeMo2 at its relaxed geometry.

Results
V = 63.9 Å³/cell
space group = F-43m
formation energy without anion corrections = 0.515 eV/atom

a = 4.4885 Å, b = 4.4885 Å, c = 4.4885 Å
α = 60.00°, β = 60.00°, γ = 60.00°
Positions (direct):
1 Cr 0.5000 0.5000 0.5000
2 Mo 0.0000 0.0000 0.0000
3 Mo 0.7500 0.7500 0.7500
4 Te 0.2500 0.2500 0.2500


Density functional theory data (GGA-PBE) for crystalline Cr4TeMo at its relaxed geometry.

Results
V = 82.2 Å³/cell
space group = F-43m
formation energy without anion corrections = 0.348 eV/atom

a = 4.8805 Å, b = 4.8805 Å, c = 4.8805 Å
α = 60.00°, β = 60.00°, γ = 60.00°
Positions (direct):
1 Cr 0.8783 0.3739 0.3739
2 Cr 0.3739 0.3739 0.8783
3 Cr 0.3739 0.8783 0.3739
4 Cr 0.3739 0.3739 0.3739
5 Te 0.0000 0.0000 0.0000
6 Mo 0.7500 0.7500 0.7500


Density functional theory data (GGA-PBE) for crystalline CrTe2Mo at its relaxed geometry.

Results
relative energy among the computed polymorphs = 0.000 eV per atom
V = 102.8 Å³/cell
space group = Pm
formation energy without anion corrections = -0.010 eV/atom

a = 3.7853 Å, b = 3.7838 Å, c = 7.1756 Å
α = 89.87°, β = 90.00°, γ = 90.00°
Positions (direct):
1 Cr 0.0000 0.3750 0.6250
2 Mo 0.5000 0.8750 0.6250
3 Te 0.0000 0.8738 0.8945
4 Te 0.5000 0.3761 0.3555


Density functional theory data (GGA-PBE) for crystalline Cr3TeMo at its relaxed geometry.

Results
relative energy among the computed polymorphs = 0.832 eV per atom
V = 94.3 Å³/cell
space group = Pm-3m
formation energy without anion corrections = 2.064 eV/atom

a = 4.5517 Å, b = 4.5517 Å, c = 4.5517 Å
α = 90.00°, β = 90.00°, γ = 90.00°
Positions (direct):
1 Cr 0.0000 0.5000 0.0000
2 Cr 0.0000 0.0000 0.5000
3 Cr 0.5000 0.0000 0.0000
4 Mo 0.5000 0.5000 0.5000
5 Te 0.0000 0.0000 0.0000


Density functional theory data (GGA-PBE) for crystalline Cr2TeMo at its relaxed geometry.

Results
V = 59.9 Å³/cell
space group = Immm
formation energy without anion corrections = 0.484 eV/atom

a = 5.0597 Å, b = 5.0597 Å, c = 5.0597 Å
α = 142.34°, β = 129.95°, γ = 64.29°
Positions (direct):
1 Cr 0.9999 0.9999 0.0000
2 Cr 0.5001 0.5001 0.0000
3 Mo 0.2500 0.7500 0.5000
4 Te 0.7500 0.2500 0.5000


Density functional theory data (GGA-PBE) for crystalline Cr2TeMo at its relaxed geometry.

Results
V = 61.0 Å³/cell
space group = P4/mmm
formation energy without anion corrections = 0.410 eV/atom

a = 3.1717 Å, b = 3.1717 Å, c = 6.0602 Å
α = 90.00°, β = 90.00°, γ = 90.00°
Positions (direct):
1 Cr 0.0000 0.0000 0.0158
2 Cr 0.0000 0.0000 0.4842
3 Mo 0.5000 0.5000 0.2500
4 Te 0.5000 0.5000 0.7500